Computed, not measured: a geometry-optimized Sc2MnCoH structure at the PBE level of DFT.

## Properties
total magnetic moment	1.6	μB/cell
energy relative to the lowest polymorph listed for this composition	0.000	eV/atom

Unit cell a=4.431 b=4.431 c=3.346 alpha=90.00 beta=90.00 gamma=90.00
Fractional positions:
Sc  0.000  0.500  0.000
Sc  0.500  0.000  0.000
Mn  0.000  0.000  0.500
Co  0.500  0.500  0.500
H  0.000  0.000  0.000

***

Computed, not measured: a geometry-optimized Sc2MnCoH structure at the PBE level of DFT.

## Properties
total magnetic moment	3.9	μB/cell
energy relative to the lowest polymorph listed for this composition	0.779	eV/atom

Unit cell a=4.781 b=4.781 c=4.451 alpha=90.00 beta=90.00 gamma=90.00
Fractional positions:
Sc  0.000  0.500  0.000
Sc  0.500  0.000  0.000
Mn  0.000  0.000  0.500
Co  0.000  0.000  0.000
H  0.500  0.500  0.500

***

Computed, not measured: a geometry-optimized MnCo2SiH structure at the PBE level of DFT.

## Properties
energy	-6.694	eV per atom
total magnetic moment	3.9	μB/cell

Unit cell a=3.627 b=3.627 c=3.542 alpha=90.00 beta=90.00 gamma=90.00
Fractional positions:
Mn  0.000  0.000  0.000
Co  0.000  0.500  0.500
Co  0.500  0.000  0.500
Si  0.500  0.500  0.000
H  0.000  0.000  0.500

***

Computed, not measured: a geometry-optimized Mn2CoSiH structure at the PBE level of DFT.

## Properties
energy	-7.089	eV per atom
total magnetic moment	4.6	μB/cell

Unit cell a=3.629 b=3.629 c=3.616 alpha=90.00 beta=90.00 gamma=90.00
Fractional positions:
Mn  0.000  0.500  0.000
Mn  0.500  0.000  0.000
Co  0.000  0.000  0.500
Si  0.500  0.500  0.500
H  0.000  0.000  0.000

***

Computed, not measured: a geometry-optimized MnCo2SnH structure at the PBE level of DFT.

## Properties
energy	-6.194	eV per atom
total magnetic moment	4.4	μB/cell

Unit cell a=3.877 b=3.877 c=3.681 alpha=90.00 beta=90.00 gamma=90.00
Fractional positions:
Mn  0.000  0.000  0.000
Co  0.000  0.500  0.500
Co  0.500  0.000  0.500
Sn  0.500  0.500  0.000
H  0.000  0.000  0.500

***

Computed, not measured: a geometry-optimized TaMn2CoH structure at the PBE level of DFT.

## Properties
total magnetic moment	3.2	μB/cell
energy relative to the lowest polymorph listed for this composition	0.046	eV/atom

Unit cell a=3.648 b=3.648 c=4.015 alpha=90.00 beta=90.00 gamma=90.00
Fractional positions:
Ta  0.000  0.000  0.000
Mn  0.000  0.500  0.500
Mn  0.500  0.000  0.500
Co  0.500  0.500  0.000
H  0.000  0.000  0.500

***

Computed, not measured: a geometry-optimized TaMnCo2H structure at the PBE level of DFT.

## Properties
total magnetic moment	1.5	μB/cell
energy relative to the lowest polymorph listed for this composition	0.081	eV/atom

Unit cell a=3.640 b=3.640 c=3.917 alpha=90.00 beta=90.00 gamma=90.00
Fractional positions:
Ta  0.000  0.000  0.000
Mn  0.500  0.500  0.000
Co  0.000  0.500  0.500
Co  0.500  0.000  0.500
H  0.000  0.000  0.500

***

Computed, not measured: a geometry-optimized TaMn2CoH structure at the PBE level of DFT.

## Properties
total magnetic moment	2.7	μB/cell
energy relative to the lowest polymorph listed for this composition	0.000	eV/atom

Unit cell a=3.759 b=3.759 c=3.697 alpha=90.00 beta=90.00 gamma=90.00
Fractional positions:
Ta  0.000  0.000  0.000
Mn  0.000  0.500  0.500
Mn  0.500  0.000  0.500
Co  0.500  0.500  0.000
H  0.500  0.500  0.500

***

Computed, not measured: a geometry-optimized Ta2MnCoH structure at the PBE level of DFT.

## Properties
total magnetic moment	0.2	μB/cell
energy relative to the lowest polymorph listed for this composition	0.000	eV/atom

Unit cell a=4.211 b=4.211 c=3.312 alpha=90.00 beta=90.00 gamma=90.00
Fractional positions:
Ta  0.000  0.500  0.000
Ta  0.500  0.000  0.000
Mn  0.000  0.000  0.500
Co  0.500  0.500  0.500
H  0.500  0.500  0.000

***

Computed, not measured: a geometry-optimized TaMnCo2H structure at the PBE level of DFT.

## Properties
total magnetic moment	4.2	μB/cell
energy relative to the lowest polymorph listed for this composition	2.175	eV/atom

Unit cell a=4.476 b=4.476 c=4.858 alpha=90.00 beta=90.00 gamma=90.00
Fractional positions:
Ta  0.000  0.000  0.000
Mn  0.000  0.000  0.500
Co  0.000  0.500  0.000
Co  0.500  0.000  0.000
H  0.500  0.500  0.500

***

Computed, not measured: a geometry-optimized TaMnCo2H structure at the PBE level of DFT.

## Properties
total magnetic moment	1.6	μB/cell
energy relative to the lowest polymorph listed for this composition	0.000	eV/atom

Unit cell a=3.683 b=3.683 c=3.758 alpha=90.00 beta=90.00 gamma=90.00
Fractional positions:
Ta  0.000  0.000  0.000
Mn  0.500  0.500  0.000
Co  0.000  0.500  0.500
Co  0.500  0.000  0.500
H  0.500  0.500  0.500

***

Computed, not measured: a geometry-optimized Ta2MnCoH structure at the PBE level of DFT.

## Properties
total magnetic moment	0.3	μB/cell
energy relative to the lowest polymorph listed for this composition	0.026	eV/atom

Unit cell a=4.181 b=4.181 c=3.414 alpha=90.00 beta=90.00 gamma=90.00
Fractional positions:
Ta  0.000  0.500  0.000
Ta  0.500  0.000  0.000
Mn  0.000  0.000  0.500
Co  0.500  0.500  0.500
H  0.000  0.000  0.000